[1]
Compound: PmNdIn2Se4
Source: Alexandria
Functional: PBE
Structure: optimized geometry

Unit cell a=7.401 b=4.273 c=8.107 alpha=90.00 beta=107.70 gamma=90.00
Element x y z (fractional)
Pm 0.000 0.000 0.000
Nd 0.500 0.500 0.000
In 0.000 0.500 0.500
In 0.500 0.000 0.500
Se 0.236 0.500 0.214
Se 0.260 0.000 0.785
Se 0.740 0.000 0.215
Se 0.764 0.500 0.786

Calculated values
Uncorrected formation energy, eV/f.u.: -10.35
Energy, eV/f.u.: -39.280

=====

[2]
Compound: PmCdPtAu
Source: Alexandria
Functional: PBE
Structure: optimized geometry

Unit cell a=7.006 b=7.006 c=7.006 alpha=90.00 beta=90.00 gamma=90.00
Element x y z (fractional)
Pm 0.000 0.000 0.000
Pm 0.000 0.500 0.500
Pm 0.500 0.000 0.500
Pm 0.500 0.500 0.000
Cd 0.000 0.000 0.500
Cd 0.000 0.500 0.000
Cd 0.500 0.000 0.000
Cd 0.500 0.500 0.500
Pt 0.250 0.250 0.250
Pt 0.250 0.750 0.750
Pt 0.750 0.250 0.750
Pt 0.750 0.750 0.250
Au 0.250 0.250 0.750
Au 0.250 0.750 0.250
Au 0.750 0.250 0.250
Au 0.750 0.750 0.750

Calculated values
DOS(E_F), states/eV/f.u.: 2.6
Energy, eV/f.u.: -17.782

=====

[3]
Compound: AcEr12Tm7
Source: Alexandria
Functional: PBE
Structure: optimized geometry

Unit cell a=8.637 b=8.637 c=8.637 alpha=87.50 beta=87.50 gamma=87.50
Element x y z (fractional)
Ac 0.000 0.000 0.000
Er 0.136 0.496 0.621
Er 0.148 0.724 0.275
Er 0.275 0.148 0.724
Er 0.276 0.725 0.852
Er 0.379 0.864 0.504
Er 0.496 0.621 0.136
Er 0.504 0.379 0.864
Er 0.621 0.136 0.496
Er 0.724 0.275 0.148
Er 0.725 0.852 0.276
Er 0.852 0.276 0.725
Er 0.864 0.504 0.379
Tm 0.062 0.156 0.392
Tm 0.156 0.392 0.062
Tm 0.392 0.062 0.156
Tm 0.500 0.500 0.500
Tm 0.608 0.938 0.844
Tm 0.844 0.608 0.938
Tm 0.938 0.844 0.608

Calculated values
DOS(E_F), states/eV/f.u.: 37.3
Energy, eV/f.u.: -85.292